Compound: CrNi
Source: Alexandria via LeMat-Bulk
Functional: GGA-PBE
Structure: relaxed

The structure belongs to space group I4_1/amd (No. 141, origin choice 2); the cell edges are 3.6268, 3.6268 and 6.8146 Å and the angles 90.00°, 90.00° and 90.00°. Symmetry generates all atoms from Cr at (0.0000, 0.2500, 0.3750) and Ni at (0.0000, 0.2500, 0.8750).

As for the total energy: -7.58 eV/atom. The spin magnetization is 0.100 μB per formula unit.